{
  "formula": "BaMg6CrO8",
  "functional": "GGA+U",
  "state": "relaxed",
  "total_energy_ev_per_cell": -93.27,
  "polymorph_energy_kj_per_mol_atoms": 0.6,
  "cell": [[-2.4595, -2.1809, 3.3373], [0.9012, -4.1239, -2.0308], [7.3518, -0.8030, 4.8933]],
  "species": ["Ba", "Mg", "Mg", "Mg", "Mg", "Mg", "Mg", "Cr", "O", "O", "O", "O", "O", "O", "O", "O"],
  "frac_coords": [[0.0000, 0.0000, 0.0000], [0.5000, 0.5000, 0.0000], [0.5000, 0.5000, 0.5000], [0.0000, 0.5000, 0.2658], [0.0000, 0.5000, 0.7342], [0.5000, 0.0000, 0.2658], [0.5000, 0.0000, 0.7342], [0.0000, 0.0000, 0.5000], [0.0000, 0.0000, 0.2790], [0.0000, 0.0000, 0.7210], [0.5000, 0.5000, 0.2540], [0.5000, 0.5000, 0.7460], [0.0000, 0.5000, 0.0000], [0.0000, 0.5000, 0.5000], [0.5000, 0.0000, 0.0000], [0.5000, 0.0000, 0.5000]]
}